Below is ThSb2Au after structural relaxation, with properties calculated at the PBE level.

V = 25.25 Å³ per atom
Magnetic moment = 0.00 μB/f.u.
D(E_F) = 0.51 states/eV per atom
Formation energy without anion corrections = -2.35 eV/f.u.

POSCAR file:
```
ThSb2Au
1.0
4.851 0.000 0.000
0.000 4.851 0.000
0.000 0.000 4.292
Th Sb Au
1 2 1
direct
0.000 0.000 0.000 Th
0.000 0.500 0.500 Sb
0.500 0.000 0.500 Sb
0.500 0.500 0.000 Au
```